Entry 1:
Density functional theory data (PBE) for a relaxed Li4CaSm crystal.

theoretical density: 2.33 g/cm³
M_tot: 0.000 μB per cell
energy: -2.32 eV/atom
formation enthalpy at 0 K: 0.077 eV/atom

Unit cell a=6.0381 b=6.0381 c=6.0381 alpha=60.00 beta=60.00 gamma=60.00
Closest atoms and distances in Å follow each position.
Fractional coordinates of all 6 atoms:
Ca1 0.2500 0.2500 0.2500  12 Li 3.54, 4 Sm 3.70
Sm1 0.0000 0.0000 0.0000  12 Li 3.54, 4 Ca 3.70
Li1 0.6251 0.6251 0.1248  6 Li 3.02
Li2 0.6251 0.1248 0.6251  6 Li 3.02
Li3 0.6251 0.6251 0.6251  6 Li 3.02
Li4 0.1248 0.6251 0.6251  6 Li 3.02



Entry 2:
Density functional theory data (PBE) for a relaxed LiCaSm2 crystal.

theoretical density: 4.46 g/cm³
M_tot: 0.000 μB per cell
energy: -3.16 eV/atom
offset from the most stable computed form: 48 meV/atom
formation enthalpy at 0 K: 0.183 eV/atom

Unit cell a=5.6288 b=4.7975 c=4.7975 alpha=90.00 beta=90.00 gamma=90.00
Closest atoms and distances in Å follow each position.
Fractional coordinates of all 4 atoms:
Ca1 0.5000 0.5000 0.5000  4 Li 3.39, 8 Sm 3.70
Sm1 0.0000 0.0000 0.5000  4 Sm 3.39, 4 Ca 3.70, 4 Li 3.70
Sm2 0.0000 0.5000 0.0000  4 Sm 3.39, 4 Li 3.70, 4 Ca 3.70
Li1 0.5000 0.0000 0.0000  4 Ca 3.39, 8 Sm 3.70



Entry 3:
Density functional theory data (PBE) for a relaxed LiCaSm2 crystal.

theoretical density: 4.52 g/cm³
M_tot: 0.000 μB per cell
energy: -3.20 eV/atom
offset from the most stable computed form: 0 meV/atom
formation enthalpy at 0 K: 0.136 eV/atom

Unit cell a=3.7598 b=3.7598 c=9.0279 alpha=90.00 beta=90.00 gamma=90.00
Closest atoms and distances in Å follow each position.
Fractional coordinates of all 4 atoms:
Ca1 0.5000 0.5000 0.5000  4 Ca 3.76, 8 Sm 3.78
Sm1 0.0000 0.0000 0.7981  4 Li 3.22
Sm2 0.0000 0.0000 0.2019  4 Li 3.22
Li1 0.5000 0.5000 0.0000  8 Sm 3.22



Entry 4:
Density functional theory data (PBE) for a relaxed LiCaSm2 crystal.

theoretical density: 4.20 g/cm³
M_tot: 0.001 μB per cell
energy: -3.06 eV/atom
offset from the most stable computed form: 139 meV/atom
formation enthalpy at 0 K: 0.274 eV/atom

Unit cell a=3.5166 b=3.5166 c=12.9855 alpha=82.22 beta=82.22 gamma=60.00
Closest atoms and distances in Å follow each position.
Fractional coordinates of all 4 atoms:
Ca1 0.5000 0.5000 0.5000  6 Ca 3.52, 6 Sm 3.73
Sm1 0.0854 0.0854 0.7437  1 Li 3.29, 6 Sm 3.52
Sm2 0.9146 0.9146 0.2563  1 Li 3.29, 6 Sm 3.52
Li1 0.0000 0.0000 0.0000  2 Sm 3.29, 6 Li 3.52



Entry 5:
Density functional theory data (PBE) for a relaxed Li2CaSmSn2 crystal.

theoretical density: 4.89 g/cm³
M_tot: 0.000 μB per cell
energy: -3.69 eV/atom
formation enthalpy at 0 K: -0.602 eV/atom

Unit cell a=4.8248 b=4.8248 c=7.4403 alpha=90.00 beta=90.00 gamma=120.00
Closest atoms and distances in Å follow each position.
Fractional coordinates of all 6 atoms:
Li1 0.3333 0.6667 0.7417  3 Sn 2.79
Li2 0.6667 0.3333 0.2583  3 Sn 2.79
Ca1 0.0000 0.0000 0.0000  6 Li 3.38, 6 Sn 3.43, 2 Sm 3.72
Sm1 0.0000 0.0000 0.5000  6 Sn 3.27, 6 Li 3.32
Sn1 0.3333 0.6667 0.2693  3 Li 2.79
Sn2 0.6667 0.3333 0.7307  3 Li 2.79



Entry 6:
Density functional theory data (PBE) for a relaxed Li2CaSm2Sn2 crystal.

theoretical density: 5.21 g/cm³
M_tot: 0.002 μB per cell
energy: -3.80 eV/atom
formation enthalpy at 0 K: -0.473 eV/atom

Unit cell a=4.8511 b=4.8511 c=9.6762 alpha=75.48 beta=75.48 gamma=60.00
Closest atoms and distances in Å follow each position.
Fractional coordinates of all 7 atoms:
Li1 0.5970 0.5970 0.2091  3 Sn 2.80
Li2 0.4030 0.4030 0.7909  3 Sn 2.80
Ca1 0.0000 0.0000 0.0000  6 Li 3.41, 6 Sn 3.49, 2 Sm 3.58
Sm1 0.1289 0.1289 0.6134  3 Sn 3.18, 3 Li 3.25, 3 Sm 3.50
Sm2 0.8711 0.8711 0.3866  3 Sn 3.18, 3 Li 3.25, 3 Sm 3.50
Sn1 0.7413 0.7413 0.7760  3 Li 2.80
Sn2 0.2587 0.2587 0.2240  3 Li 2.80



Entry 7:
Density functional theory data (PBE) for a relaxed LiCa3Sm2Te6 crystal.

theoretical density: 5.26 g/cm³
M_tot: 0.000 μB per cell
energy: -4.49 eV/atom

Unit cell a=7.7179 b=7.7179 c=7.7456 alpha=99.61 beta=99.61 gamma=119.97
Closest atoms and distances in Å follow each position.
Fractional coordinates of all 12 atoms:
Li1 0.0000 0.0000 0.0000  6 Te 3.09-3.11
Ca1 0.1692 0.8308 0.5000  6 Te 3.17-3.19
Ca2 0.8308 0.1692 0.5000  6 Te 3.17-3.19
Ca3 0.5000 0.5000 0.5000  6 Te 3.16-3.21
Sm1 0.3343 0.6657 0.0000  6 Te 3.15
Sm2 0.6657 0.3343 0.0000  6 Te 3.15
Te1 0.9190 0.5911 0.7561  1 Li 3.09, 2 Sm 3.15, 3 Ca 3.16-3.19
Te2 0.7540 0.7540 0.2466  1 Li 3.11, 2 Sm 3.15, 3 Ca 3.18-3.21
Te3 0.0810 0.4089 0.2439  1 Li 3.09, 2 Sm 3.15, 3 Ca 3.16-3.19
Te4 0.5911 0.9190 0.7561  1 Li 3.09, 2 Sm 3.15, 3 Ca 3.16-3.19
Te5 0.2460 0.2460 0.7534  1 Li 3.11, 2 Sm 3.15, 3 Ca 3.18-3.21
Te6 0.4089 0.0810 0.2439  1 Li 3.09, 2 Sm 3.15, 3 Ca 3.16-3.19



Entry 8:
Density functional theory data (PBE) for a relaxed LiCa2SmTe4 crystal.

theoretical density: 4.94 g/cm³
M_tot: 0.000 μB per cell
energy: -4.35 eV/atom

Unit cell a=4.4841 b=7.6903 c=7.7093 alpha=108.94 beta=90.00 gamma=90.00
Closest atoms and distances in Å follow each position.
Fractional coordinates of all 8 atoms:
Li1 0.5000 0.5000 0.0000  6 Te 3.07-3.13
Ca1 0.5000 0.0000 0.5000  6 Te 3.20
Ca2 0.0000 0.5000 0.5000  6 Te 3.15-3.18
Sm1 0.0000 0.0000 0.0000  6 Te 3.11-3.15
Te1 0.5000 0.2526 0.2422  1 Li 3.07, 2 Sm 3.15, 3 Ca 3.18-3.20
Te2 0.5000 0.7474 0.7578  1 Li 3.07, 2 Sm 3.15, 3 Ca 3.18-3.20
Te3 0.0000 0.2535 0.7569  1 Sm 3.11, 2 Li 3.13, 3 Ca 3.15-3.20
Te4 0.0000 0.7465 0.2431  1 Sm 3.11, 2 Li 3.13, 3 Ca 3.15-3.20



Entry 9:
Density functional theory data (PBE) for a relaxed LiCa2Sm3Te6 crystal.

theoretical density: 5.82 g/cm³
M_tot: 0.000 μB per cell
energy: -4.69 eV/atom

Unit cell a=7.6406 b=7.6406 c=7.7933 alpha=99.43 beta=99.43 gamma=120.02
Closest atoms and distances in Å follow each position.
Fractional coordinates of all 12 atoms:
Li1 0.0000 0.0000 0.0000  6 Te 3.07-3.09
Ca1 0.3345 0.6655 0.0000  6 Te 3.14-3.15
Ca2 0.6655 0.3345 0.0000  6 Te 3.14-3.15
Sm1 0.1697 0.8303 0.5000  6 Te 3.14-3.19
Sm2 0.8303 0.1697 0.5000  6 Te 3.14-3.19
Sm3 0.5000 0.5000 0.5000  6 Te 3.15-3.20
Te1 0.9191 0.5932 0.7558  1 Li 3.07, 3 Sm 3.14-3.19, 2 Ca 3.15
Te2 0.7567 0.7567 0.2477  1 Li 3.09, 2 Ca 3.14, 3 Sm 3.16-3.20
Te3 0.0809 0.4068 0.2442  1 Li 3.07, 3 Sm 3.14-3.19, 2 Ca 3.15
Te4 0.5932 0.9191 0.7558  1 Li 3.07, 3 Sm 3.14-3.19, 2 Ca 3.15
Te5 0.2433 0.2433 0.7523  1 Li 3.09, 2 Ca 3.14, 3 Sm 3.16-3.20
Te6 0.4068 0.0809 0.2442  1 Li 3.07, 3 Sm 3.14-3.19, 2 Ca 3.15



Entry 10:
Density functional theory data (PBE) for a relaxed LiCaSm2Te4 crystal.

theoretical density: 5.78 g/cm³
M_tot: 0.000 μB per cell
energy: -4.65 eV/atom

Unit cell a=4.4174 b=7.7442 c=7.6268 alpha=70.82 beta=90.00 gamma=90.00
Closest atoms and distances in Å follow each position.
Fractional coordinates of all 8 atoms:
Li1 0.0000 0.5000 0.5000  6 Te 3.08-3.10
Ca1 0.5000 0.5000 0.0000  6 Te 3.13-3.14
Sm1 0.0000 0.0000 0.0000  6 Te 3.18-3.19
Sm2 0.5000 0.0000 0.5000  6 Te 3.13-3.14
Te1 0.0000 0.7455 0.7456  1 Li 3.08, 2 Ca 3.14, 3 Sm 3.14-3.19
Te2 0.0000 0.2545 0.2544  1 Li 3.08, 2 Ca 3.14, 3 Sm 3.14-3.19
Te3 0.5000 0.7438 0.2568  2 Li 3.10, 3 Sm 3.13-3.18, 1 Ca 3.13
Te4 0.5000 0.2562 0.7432  2 Li 3.10, 3 Sm 3.13-3.18, 1 Ca 3.13



Entry 11:
Density functional theory data (PBE) for a relaxed Li2Ca2SmTl2 crystal.

theoretical density: 5.49 g/cm³
M_tot: 0.000 μB per cell
energy: -2.71 eV/atom
formation enthalpy at 0 K: -0.238 eV/atom

Unit cell a=4.9761 b=4.9761 c=9.6440 alpha=75.05 beta=75.05 gamma=60.00
Closest atoms and distances in Å follow each position.
Fractional coordinates of all 7 atoms:
Li1 0.6088 0.6088 0.1736  3 Tl 2.88
Li2 0.3912 0.3912 0.8264  3 Tl 2.88
Ca1 0.1248 0.1248 0.6255  3 Tl 3.31, 3 Li 3.42, 1 Sm 3.45, 3 Ca 3.69
Ca2 0.8752 0.8752 0.3745  3 Tl 3.31, 3 Li 3.42, 1 Sm 3.45, 3 Ca 3.69
Sm1 0.0000 0.0000 0.0000  6 Li 3.29, 6 Tl 3.39, 2 Ca 3.45
Tl1 0.7317 0.7317 0.8050  3 Li 2.88
Tl2 0.2683 0.2683 0.1950  3 Li 2.88



Entry 12:
Density functional theory data (PBE) for a relaxed LiCaSm2Tl4 crystal.

theoretical density: 8.79 g/cm³
M_tot: 0.000 μB per cell
energy: -3.20 eV/atom
formation enthalpy at 0 K: -0.351 eV/atom

Unit cell a=5.3564 b=5.3564 c=9.3806 alpha=73.41 beta=73.41 gamma=60.00
Closest atoms and distances in Å follow each position.
Fractional coordinates of all 8 atoms:
Li1 0.5000 0.5000 0.5000  8 Tl 3.23-3.27
Ca1 0.0000 0.0000 0.0000  8 Tl 3.31-3.38
Sm1 0.7532 0.7532 0.7405  8 Tl 3.18-3.49
Sm2 0.2468 0.2468 0.2595  8 Tl 3.18-3.49
Tl1 0.3783 0.3783 0.8652  1 Li 3.23, 4 Sm 3.28-3.49, 3 Ca 3.31
Tl2 0.8729 0.8729 0.3814  4 Sm 3.18-3.28, 3 Li 3.27, 1 Ca 3.38
Tl3 0.1271 0.1271 0.6186  4 Sm 3.18-3.28, 3 Li 3.27, 1 Ca 3.38
Tl4 0.6217 0.6217 0.1348  1 Li 3.23, 4 Sm 3.28-3.49, 3 Ca 3.31